Entry 1:
# ZrRhSe2 (GGA-PBEsol, optimized geometry)
# **E**: -28.04 eV/f.u.
# **Formation energy without anion corrections**: -0.777 eV/atom
# **Energy above the lowest structure with this stoichiometry**: 0.0 meV/atom
# **N(E_F)**: 0.52 states/eV per atom
data_ZrRhSe2
_symmetry_space_group_name_H-M 'P 4/m m m'
_symmetry_Int_Tables_number 123
_symmetry_space_group_name_Hall '-P 4 2'
_cell_length_a 4.436
_cell_length_b 4.436
_cell_length_c 3.354
_cell_angle_alpha 90.00
_cell_angle_beta 90.00
_cell_angle_gamma 90.00
loop_
_atom_site_label
_atom_site_type_symbol
_atom_site_fract_x
_atom_site_fract_y
_atom_site_fract_z
_atom_site_occupancy
Zr1 Zr 0.000 0.000 0.000 1
Rh1 Rh 0.500 0.500 0.000 1
Se1 Se 0.000 0.500 0.500 1



Entry 2:
# Y4ZnP (GGA-PBEsol, optimized geometry)
# **E**: -31.73 eV/f.u.
# **Formation enthalpy at 0 K**: 2.9 eV per formula unit
# **N(E_F)**: 1.20 states/eV per atom
data_Y4ZnP
_symmetry_space_group_name_H-M 'F -4 3 m'
_symmetry_Int_Tables_number 216
_symmetry_space_group_name_Hall 'F -4 2 3'
_cell_length_a 8.500
_cell_length_b 8.500
_cell_length_c 8.500
_cell_angle_alpha 90.00
_cell_angle_beta 90.00
_cell_angle_gamma 90.00
loop_
_atom_site_label
_atom_site_type_symbol
_atom_site_fract_x
_atom_site_fract_y
_atom_site_fract_z
_atom_site_occupancy
Y1 Y 0.125 0.125 0.125 1
Zn1 Zn 0.250 0.250 0.750 1
P1 P 0.000 0.000 0.500 1



Entry 3:
# TaBPd2S (GGA-PBEsol, optimized geometry)
# **E**: -33.79 eV/f.u.
# **Formation energy without anion corrections**: 0.415 eV/atom
# **N(E_F)**: 0.77 states/eV per atom
data_TaBPd2S
_symmetry_space_group_name_H-M 'P 4/m m m'
_symmetry_Int_Tables_number 123
_symmetry_space_group_name_Hall '-P 4 2'
_cell_length_a 3.977
_cell_length_b 3.977
_cell_length_c 4.567
_cell_angle_alpha 90.00
_cell_angle_beta 90.00
_cell_angle_gamma 90.00
loop_
_atom_site_label
_atom_site_type_symbol
_atom_site_fract_x
_atom_site_fract_y
_atom_site_fract_z
_atom_site_occupancy
Ta1 Ta 0.000 0.000 0.000 1
B1 B 0.500 0.500 0.500 1
Pd1 Pd 0.000 0.500 0.500 1
S1 S 0.500 0.500 0.000 1



Entry 4:
# TaCl (GGA-PBEsol, optimized geometry)
# **E**: -14.02 eV/f.u.
# **Formation energy without anion corrections**: 0.267 eV/atom
# **N(E_F)**: 0.97 states/eV per atom
data_TaCl
_symmetry_space_group_name_H-M 'P -6 m 2'
_symmetry_Int_Tables_number 187
_symmetry_space_group_name_Hall 'P -6 2'
_cell_length_a 2.9881
_cell_length_b 2.9881
_cell_length_c 4.1582
_cell_angle_alpha 90.00
_cell_angle_beta 90.00
_cell_angle_gamma 120.00
loop_
_atom_site_label
_atom_site_type_symbol
_atom_site_fract_x
_atom_site_fract_y
_atom_site_fract_z
_atom_site_occupancy
Ta1 Ta 0.0000 0.0000 0.0000 1
Cl1 Cl 0.6667 0.3333 0.5000 1



Entry 5:
# BeRe3 (GGA-PBEsol, optimized geometry)
# **E**: -42.99 eV/f.u.
# **Formation enthalpy at 0 K**: 1.0 eV per formula unit
# **Energy above the lowest structure with this stoichiometry**: 82.7 meV/atom
# **N(E_F)**: 0.70 states/eV per atom
data_BeRe3
_symmetry_space_group_name_H-M 'P 4/m m m'
_symmetry_Int_Tables_number 123
_symmetry_space_group_name_Hall '-P 4 2'
_cell_length_a 4.248
_cell_length_b 4.248
_cell_length_c 2.985
_cell_angle_alpha 90.00
_cell_angle_beta 90.00
_cell_angle_gamma 90.00
loop_
_atom_site_label
_atom_site_type_symbol
_atom_site_fract_x
_atom_site_fract_y
_atom_site_fract_z
_atom_site_occupancy
Be1 Be 0.000 0.000 0.000 1
Re1 Re 0.000 0.500 0.500 1
Re2 Re 0.500 0.500 0.000 1



Entry 6:
# Na2LaFeBi (GGA-PBEsol, optimized geometry)
# **E**: -17.17 eV/f.u.
# **Formation enthalpy at 0 K**: 4.2 eV per formula unit
# **N(E_F)**: 0.55 states/eV per atom
data_Na2LaFeBi
_symmetry_space_group_name_H-M 'P 4/m m m'
_symmetry_Int_Tables_number 123
_symmetry_space_group_name_Hall '-P 4 2'
_cell_length_a 5.961
_cell_length_b 5.961
_cell_length_c 4.240
_cell_angle_alpha 90.00
_cell_angle_beta 90.00
_cell_angle_gamma 90.00
loop_
_atom_site_label
_atom_site_type_symbol
_atom_site_fract_x
_atom_site_fract_y
_atom_site_fract_z
_atom_site_occupancy
Na1 Na 0.000 0.500 0.000 1
La1 La 0.000 0.000 0.000 1
Fe1 Fe 0.000 0.000 0.500 1
Bi1 Bi 0.500 0.500 0.500 1



Question: Among the records above, which one has the lowest N(E_F)?
Answer: ZrRhSe2



Please write out number 3 again, unchanged.
# TaBPd2S (GGA-PBEsol, optimized geometry)
# **E**: -33.79 eV/f.u.
# **Formation energy without anion corrections**: 0.415 eV/atom
# **N(E_F)**: 0.77 states/eV per atom
data_TaBPd2S
_symmetry_space_group_name_H-M 'P 4/m m m'
_symmetry_Int_Tables_number 123
_symmetry_space_group_name_Hall '-P 4 2'
_cell_length_a 3.977
_cell_length_b 3.977
_cell_length_c 4.567
_cell_angle_alpha 90.00
_cell_angle_beta 90.00
_cell_angle_gamma 90.00
loop_
_atom_site_label
_atom_site_type_symbol
_atom_site_fract_x
_atom_site_fract_y
_atom_site_fract_z
_atom_site_occupancy
Ta1 Ta 0.000 0.000 0.000 1
B1 B 0.500 0.500 0.500 1
Pd1 Pd 0.000 0.500 0.500 1
S1 S 0.500 0.500 0.000 1



Question: What is the N(E_F) in the fourth record?
Answer: 0.97 states/eV per atom



Question: The highest N(E_F) belongs to which entry?
Answer: Y4ZnP